First-principles (PBE) data for Zn3AgPd4 after structural relaxation, as listed in Alexandria.

Cell: 3.4254 4.2181 8.3240 Å, 90.00 90.00 90.00°
Fractional coordinates of all 8 atoms:
Zn 0.0000 0.0000 0.0000
Zn 0.0000 0.5000 0.2528
Zn 0.0000 0.5000 0.7472
Ag 0.0000 0.0000 0.5000
Pd 0.5000 0.0000 0.2362
Pd 0.5000 0.0000 0.7638
Pd 0.5000 0.5000 0.0000
Pd 0.5000 0.5000 0.5000

Summary:
The density is 10.08 g/cm³. As for the total magnetization: 0.00 μB per cell. The value obtained for the density of states at the Fermi level is 2.28 states/eV/f.u. The total energy is -3.863 eV/atom.